[1]
Computed, not measured: a geometry-optimized Gd3Mg3Tl2Cu structure at the PBE level of DFT. Values from VASP.

Quantum ESPRESSO input file:
```
&SYSTEM
  ibrav = 0, nat = 9, ntyp = 4
/
ATOMIC_SPECIES
Cu 63.55 Cu.upf
Gd 157.25 Gd.upf
Mg 24.30 Mg.upf
Tl 204.38 Tl.upf
ATOMIC_POSITIONS angstrom
Cu 0.000 0.000 2.247
Gd 4.500 0.000 2.247
Gd 1.528 2.647 2.247
Gd -2.250 3.897 2.247
Mg 1.761 0.000 0.000
Mg -0.881 1.525 0.000
Mg 2.898 5.019 0.000
Tl 3.778 2.181 0.000
Tl 0.000 4.363 0.000
CELL_PARAMETERS angstrom
7.557 0.000 0.000
-3.778 6.544 0.000
0.000 0.000 4.494
```

## Properties
Crystal system   hexagonal
E_tot   -0.243 Ry per atom
Space-group type   No. 189

=====

[2]
Computed, not measured: a geometry-optimized TbGdCu2N4 structure at the PBE level of DFT. Values from VASP.

Quantum ESPRESSO input file:
```
&SYSTEM
  ibrav = 0, nat = 8, ntyp = 4
/
ATOMIC_SPECIES
Cu 63.55 Cu.upf
Gd 157.25 Gd.upf
N 14.01 N.upf
Tb 158.93 Tb.upf
ATOMIC_POSITIONS angstrom
Cu 0.165 -1.116 4.359
Cu -1.303 -2.716 3.346
Gd 0.147 -0.973 1.325
N -1.628 -0.594 3.298
N 0.489 -3.233 4.400
N 0.535 -3.562 7.688
N -0.932 -5.163 6.676
Tb -1.286 -2.854 6.373
CELL_PARAMETERS angstrom
-0.415 2.688 2.021
-3.350 -0.513 -0.005
0.743 -4.912 6.686
```

## Properties
Crystal system   tetragonal
E_tot   -0.463 Ry per atom
Space-group type   No. 99

=====

[3]
Computed, not measured: a geometry-optimized Na2Gd2Cu structure at the PBE level of DFT. Values from VASP.

Quantum ESPRESSO input file:
```
&SYSTEM
  ibrav = 0, nat = 10, ntyp = 3
/
ATOMIC_SPECIES
Cu 63.55 Cu.upf
Gd 157.25 Gd.upf
Na 22.99 Na.upf
ATOMIC_POSITIONS angstrom
Cu 6.038 8.341 1.951
Cu 9.057 12.511 3.279
Gd 0.517 6.808 2.083
Gd 5.521 1.533 2.083
Gd 2.502 2.638 0.755
Gd 3.536 5.703 0.755
Na 3.474 7.609 3.366
Na 6.493 4.902 2.038
Na 8.602 9.072 3.366
Na 5.583 11.779 2.038
CELL_PARAMETERS angstrom
0.000 8.341 2.656
6.038 0.000 2.656
6.038 8.341 0.000
```

## Properties
Crystal system   orthorhombic
E_tot   -0.200 Ry per atom
Space-group type   No. 43

=====

The evaluated V for the records listed, in turn: 222.27 95.67 267.46 Å³ per cell.
The evaluated calculated density for the records listed, in turn: 7598 8666 5265 kg/m3.